(1)
First-principles (PBE) data for a relaxed AlIn2ICl crystal, as listed in Alexandria via LeMat-Bulk.

Output
* ΔE_f (raw): 0.48 eV/atom
* magnetic moment: 0.00 μB per formula unit

a = 6.1727 Å, b = 6.1727 Å, c = 7.1176 Å
α = 90.00°, β = 90.00°, γ = 90.00°
With the nearest neighbours (Å) after each atom.
Space group P4/mmm (No. 123)
Symmetry-distinct sites (fractional):
Al (0.0000, 0.0000, 0.0000) x1  4 Cl 4.36, 8 In 4.71
In (0.0000, 0.5000, 0.5000) x2  2 I 3.09
I (0.5000, 0.5000, 0.5000) x1  4 In 3.09
Cl (0.5000, 0.5000, 0.0000) x1  2 I 3.56

=====

(2)
First-principles (PBE) data for a relaxed K2HfMgMn crystal, as listed in Alexandria via LeMat-Bulk.

Output
* energy of formation from the pure elements: 1230 meV per atom
* magnetic moment: 1.65 μB per formula unit

a = 6.8004 Å, b = 6.8004 Å, c = 4.6370 Å
α = 90.00°, β = 90.00°, γ = 90.00°
With the nearest neighbours (Å) after each atom.
Space group P4/mmm (No. 123)
Symmetry-distinct sites (fractional):
K (0.0000, 0.5000, 0.0000) x2  2 Hf 3.40
Hf (0.0000, 0.0000, 0.0000) x1  2 Mn 2.32
Mg (0.5000, 0.5000, 0.5000) x1  8 K 4.12
Mn (0.0000, 0.0000, 0.5000) x1  2 Hf 2.32

=====

(3)
First-principles (PBE) data for a relaxed LiYSn crystal, as listed in Alexandria via LeMat-Bulk.

Output
* energy of formation from the pure elements: -302 meV per atom
* magnetic moment: 0.00 μB per formula unit

a = 4.1353 Å, b = 4.1353 Å, c = 8.8792 Å
α = 90.00°, β = 90.00°, γ = 90.00°
With the nearest neighbours (Å) after each atom.
Space group I4mm (No. 107)
Symmetry-distinct sites (fractional):
Li (0.0000, 0.0000, 0.0000) x2  1 Sn 2.85, 1 Y 2.93
Y (0.0000, 0.0000, 0.6697) x2  1 Li 2.93, 5 Sn 3.10-3.22
Sn (0.0000, 0.0000, 0.3205) x2  1 Li 2.85, 1 Y 3.10